(1)
ZrAsI2 | PBE | relaxed

Cell: 3.9150 3.7924 8.9479 Å, 90.00 102.43 90.00°
Space group Pm (No. 6)
Inequivalent atoms, fractional coordinates:
Zr 0.0000 0.0000 0.0000 [1 per cell]
As 0.5270 0.5000 0.0550 [1 per cell]
I 0.1601 0.0000 0.3256 [1 per cell]
I 0.8674 0.5000 0.7300 [1 per cell]

E above lowest polymorph in eV per atom: 0.178
Magnetization in μB/f.u.: 0.00
Energy relative to the elements, uncorrected in meV per atom: -606

***

(2)
Y2TmFe | PBE | relaxed

Cell: 7.0618 9.1595 6.2530 Å, 90.00 90.00 90.00°
Space group Pnma (No. 62)
Inequivalent atoms, fractional coordinates:
Y 0.1742 0.0666 0.1742 [8 per cell]
Tm 0.0501 0.2500 0.6415 [4 per cell]
Fe 0.1128 0.7500 0.9744 [4 per cell]

Formation energy in meV/atom: -9
E above lowest polymorph in eV per atom: 0.000
Magnetization in μB/f.u.: 0.00

***

(3)
Cd2CuRe | PBE | relaxed

Cell: 2.7570 4.4218 5.6645 Å, 90.00 102.18 90.00°
Space group P2/m (No. 10)
Inequivalent atoms, fractional coordinates:
Cd 0.0795 0.0000 0.2540 [2 per cell]
Cu 0.5000 0.5000 0.5000 [1 per cell]
Re 0.5000 0.5000 0.0000 [1 per cell]

Formation energy in meV/atom: 550
E above lowest polymorph in eV per atom: 0.158
Magnetization in μB/f.u.: 0.00

***

(4)
ScNbGaPd2 | PBE | relaxed

Cell: 4.8535 4.8535 5.1170 Å, 90.00 90.00 90.00°
Space group P4/mmm (No. 123)
Inequivalent atoms, fractional coordinates:
Sc 0.0000 0.0000 0.0000 [1 per cell]
Nb 0.0000 0.0000 0.5000 [1 per cell]
Ga 0.5000 0.5000 0.0000 [1 per cell]
Pd 0.0000 0.5000 0.5000 [2 per cell]

Formation energy in meV/atom: 732
Magnetization in μB/f.u.: 0.00

***

(5)
KLiTl3Pb | PBE | relaxed

Cell: 7.0760 15.8864 6.9085 Å, 90.00 90.00 90.00°
Space group Cmcm (No. 63)
Inequivalent atoms, fractional coordinates:
K 0.0000 0.2042 0.2500 [4 per cell]
Li 0.0000 0.4200 0.2500 [4 per cell]
Tl 0.0000 0.3638 0.7500 [4 per cell]
Tl 0.2289 0.0000 0.0000 [8 per cell]
Pb 0.0000 0.1413 0.7500 [4 per cell]

Formation energy in meV/atom: -74
Magnetization in μB/f.u.: 0.00

***

(6)
TcRuCl2 | PBE | relaxed

Cell: 2.8765 4.1661 5.3537 Å, 90.00 90.00 90.00°
Space group Pmmm (No. 47)
Inequivalent atoms, fractional coordinates:
Tc 0.0000 0.0000 0.0000 [1 per cell]
Ru 0.5000 0.0000 0.5000 [1 per cell]
Cl 0.0000 0.5000 0.5000 [1 per cell]
Cl 0.5000 0.5000 0.0000 [1 per cell]

E above lowest polymorph in eV per atom: 0.788
Magnetization in μB/f.u.: 1.73
Energy relative to the elements, uncorrected in meV per atom: 723

***

(7)
Fe8Re3Mo | PBE | relaxed

Cell: 4.6388 4.6388 7.6900 Å, 90.00 90.00 120.00°
Space group P3m1 (No. 156)
Inequivalent atoms, fractional coordinates:
Fe 0.0000 0.0000 0.0000 [1 per cell]
Fe 0.0000 0.0000 0.4998 [1 per cell]
Fe 0.1701 0.3401 0.2511 [3 per cell]
Fe 0.3397 0.1698 0.7498 [3 per cell]
Re 0.3333 0.6667 0.5653 [1 per cell]
Re 0.3333 0.6667 0.9322 [1 per cell]
Re 0.6667 0.3333 0.4375 [1 per cell]
Mo 0.6667 0.3333 0.0655 [1 per cell]

Formation energy in meV/atom: -14
Magnetization in μB/f.u.: 7.51

***

(8)
CeIn3Hg2Cl6 | PBE | relaxed

Cell: 15.7753 8.2118 6.7294 Å, 90.00 93.14 90.00°
Space group C2/m (No. 12)
Inequivalent atoms, fractional coordinates:
Ce 0.0000 0.0000 0.0000 [2 per cell]
In 0.0000 0.5000 0.5000 [2 per cell]
In 0.2500 0.2500 0.0000 [4 per cell]
Hg 0.1539 0.5000 0.2584 [4 per cell]
Cl 0.0753 0.2389 0.7820 [8 per cell]
Cl 0.1486 0.0000 0.2352 [4 per cell]

Magnetization in μB/f.u.: 0.86
Energy relative to the elements, uncorrected in meV per atom: -1121

***

(9)
KCo2Hg | PBE | relaxed

Cell: 2.9166 2.9166 9.1687 Å, 90.00 90.00 90.00°
Space group P4/mmm (No. 123)
Inequivalent atoms, fractional coordinates:
K 0.0000 0.0000 0.0000 [1 per cell]
Co 0.5000 0.5000 0.2961 [2 per cell]
Hg 0.0000 0.0000 0.5000 [1 per cell]

Formation energy in meV/atom: 944
Magnetization in μB/f.u.: 3.00

***

(10)
PmHoErTl | PBE | relaxed

Cell: 4.8306 4.8868 4.8968 Å, 90.00 90.00 90.00°
Space group Pmmm (No. 47)
Inequivalent atoms, fractional coordinates:
Pm 0.0000 0.0000 0.0000 [1 per cell]
Ho 0.5000 0.5000 0.0000 [1 per cell]
Er 0.5000 0.0000 0.5000 [1 per cell]
Tl 0.0000 0.5000 0.5000 [1 per cell]

Formation energy in meV/atom: -180
E above lowest polymorph in eV per atom: 0.000
Magnetization in μB/f.u.: 0.70

***

(11)
K2TaTl | PBE | relaxed

Cell: 3.2483 3.2483 38.4647 Å, 90.00 90.00 120.00°
Space group R-3m (No. 166, hexagonal axes)
Inequivalent atoms, fractional coordinates:
K 0.0000 0.0000 0.2491 [6 per cell]
Ta 0.0000 0.0000 0.5000 [3 per cell]
Tl 0.0000 0.0000 0.0000 [3 per cell]

Formation energy in meV/atom: 904
E above lowest polymorph in eV per atom: 0.143
Magnetization in μB/f.u.: 0.41

***

(12)
Sr4PrPa3As8 | PBE | relaxed

Cell: 8.5719 8.5719 21.3918 Å, 90.00 90.00 120.00°
Space group R-3m (No. 166, hexagonal axes)
Inequivalent atoms, fractional coordinates:
Sr 0.0000 0.0000 0.0000 [3 per cell]
Sr 0.0000 0.5000 0.0000 [9 per cell]
Pr 0.0000 0.0000 0.5000 [3 per cell]
Pa 0.0000 0.5000 0.5000 [9 per cell]
As 0.0000 0.0000 0.2391 [6 per cell]
As 0.0131 0.5065 0.7598 [18 per cell]

Formation energy in meV/atom: -1202
Magnetization in μB/f.u.: 1.48